## Pu2NpGe4Ir3 (PBE)

Data for an optimized crystal structure of Pu2NpGe4Ir3.

Unit cell a=4.204 b=4.204 c=11.278 alpha=90.00 beta=90.00 gamma=90.00
Last column: magnetic moment on the atom in μB.
Sites, in units of the cell vectors:
Pu1 0.500 0.000 0.239  5.18
Pu2 0.000 0.500 0.761  5.18
Np1 0.500 0.500 0.500  3.41
Ge1 0.500 0.500 0.000  -0.01
Ge2 0.000 0.000 0.000  -0.01
Ge3 0.500 0.000 0.669  -0.06
Ge4 0.000 0.500 0.331  -0.06
Ir1 0.000 0.000 0.500  -0.34
Ir2 0.500 0.000 0.882  -0.07
Ir3 0.000 0.500 0.118  -0.07

Computed properties:
**E**: -9.06 eV/atom
**DFT formation energy**: -392 meV per atom
**V**: 199.34 Å³/f.u.

***

## NpGe2IrRh2 (PBE)

Data for an optimized crystal structure of NpGe2IrRh2.

Unit cell a=4.681 b=4.681 c=5.404 alpha=90.00 beta=90.00 gamma=90.00
Last column: magnetic moment on the atom in μB.
Sites, in units of the cell vectors:
Np1 0.000 0.000 0.500  3.75
Ge1 0.500 0.000 0.000  -0.01
Ge2 0.000 0.500 0.000  -0.01
Ir1 0.000 0.000 0.000  -0.10
Rh1 0.500 0.500 0.743  -0.21
Rh2 0.500 0.500 0.257  -0.21

Computed properties:
**E**: -7.53 eV/atom
**DFT formation energy**: 88 meV per atom
**V**: 118.39 Å³/f.u.

***

## NpGe2IrRh (PBE)

Data for an optimized crystal structure of NpGe2IrRh.

Unit cell a=4.124 b=4.124 c=6.016 alpha=110.04 beta=110.04 gamma=90.00
Last column: magnetic moment on the atom in μB.
Sites, in units of the cell vectors:
Np1 0.000 0.000 0.000  3.86
Ge1 0.620 0.620 0.241  0.00
Ge2 0.380 0.380 0.759  0.00
Ir1 0.250 0.750 0.500  -0.01
Rh1 0.750 0.250 0.500  0.02

Computed properties:
**E**: -8.16 eV/atom
**DFT formation energy**: -481 meV per atom
**V**: 89.49 Å³/f.u.

***

## Np2Ge4Ir3Rh (PBE)

Data for an optimized crystal structure of Np2Ge4Ir3Rh.

Unit cell a=4.224 b=4.224 c=10.172 alpha=90.00 beta=90.00 gamma=90.00
Last column: magnetic moment on the atom in μB.
Sites, in units of the cell vectors:
Np1 0.500 0.000 0.244  3.71
Np2 0.000 0.500 0.756  3.71
Ge1 0.500 0.500 0.000  -0.01
Ge2 0.000 0.000 0.000  -0.01
Ge3 0.500 0.000 0.631  -0.01
Ge4 0.000 0.500 0.369  -0.01
Ir1 0.000 0.000 0.500  -0.04
Ir2 0.500 0.000 0.869  -0.12
Ir3 0.000 0.500 0.131  -0.12
Rh1 0.500 0.500 0.500  -0.03

Computed properties:
**E**: -8.29 eV/atom
**DFT formation energy**: -461 meV per atom
**V**: 181.51 Å³/f.u.

***

## Np2Ge4Ir3Ru (PBE)

Data for an optimized crystal structure of Np2Ge4Ir3Ru.

Unit cell a=4.260 b=4.260 c=9.999 alpha=90.00 beta=90.00 gamma=90.00
Last column: magnetic moment on the atom in μB.
Sites, in units of the cell vectors:
Np1 0.500 0.000 0.251  3.70
Np2 0.000 0.500 0.749  3.70
Ge1 0.500 0.500 0.000  -0.01
Ge2 0.000 0.000 0.000  -0.01
Ge3 0.500 0.000 0.628  -0.01
Ge4 0.000 0.500 0.372  -0.01
Ir1 0.000 0.000 0.500  -0.07
Ir2 0.500 0.000 0.871  -0.09
Ir3 0.000 0.500 0.129  -0.09
Ru1 0.500 0.500 0.500  -0.15

Computed properties:
**E**: -8.43 eV/atom
**DFT formation energy**: -412 meV per atom
**V**: 181.45 Å³/f.u.

***

## NpGe4Ir2Ru (PBE)

Data for an optimized crystal structure of NpGe4Ir2Ru.

Unit cell a=4.203 b=4.203 c=9.141 alpha=76.71 beta=76.71 gamma=60.00
Last column: magnetic moment on the atom in μB.
Sites, in units of the cell vectors:
Np1 0.000 0.000 0.000  3.73
Ge1 0.395 0.395 0.815  -0.01
Ge2 0.870 0.870 0.390  0.00
Ge3 0.130 0.130 0.610  0.00
Ge4 0.605 0.605 0.185  -0.01
Ir1 0.767 0.767 0.700  -0.05
Ir2 0.233 0.233 0.300  -0.05
Ru1 0.500 0.500 0.500  -0.05

Computed properties:
**E**: -7.55 eV/atom
**DFT formation energy**: -250 meV per atom
**V**: 134.84 Å³/f.u.

***

## NpGe2IrRu (PBE)

Data for an optimized crystal structure of NpGe2IrRu.

Unit cell a=4.191 b=4.191 c=5.916 alpha=110.74 beta=110.74 gamma=90.00
Last column: magnetic moment on the atom in μB.
Sites, in units of the cell vectors:
Np1 0.000 0.000 0.000  3.82
Ge1 0.624 0.624 0.248  -0.01
Ge2 0.376 0.376 0.752  -0.01
Ir1 0.750 0.250 0.500  -0.06
Ru1 0.250 0.750 0.500  -0.12

Computed properties:
**E**: -8.44 eV/atom
**DFT formation energy**: -382 meV per atom
**V**: 89.92 Å³/f.u.

***

## NpGe4IrRu2 (PBE)

Data for an optimized crystal structure of NpGe4IrRu2.

Unit cell a=4.246 b=4.246 c=8.922 alpha=76.24 beta=76.24 gamma=60.00
Last column: magnetic moment on the atom in μB.
Sites, in units of the cell vectors:
Np1 0.000 0.000 0.000  3.74
Ge1 0.395 0.395 0.814  0.00
Ge2 0.872 0.872 0.383  0.00
Ge3 0.128 0.128 0.617  0.00
Ge4 0.605 0.605 0.186  0.00
Ir1 0.500 0.500 0.500  0.01
Ru1 0.769 0.769 0.694  0.00
Ru2 0.231 0.231 0.306  0.00

Computed properties:
**E**: -7.54 eV/atom
**DFT formation energy**: -185 meV per atom
**V**: 133.92 Å³/f.u.

***

## Sr2NpGe3Ir4 (PBE)

Data for an optimized crystal structure of Sr2NpGe3Ir4.

Unit cell a=4.310 b=4.310 c=11.046 alpha=90.00 beta=90.00 gamma=90.00
Last column: magnetic moment on the atom in μB.
Sites, in units of the cell vectors:
Sr1 0.500 0.000 0.233  0.03
Sr2 0.000 0.500 0.767  0.03
Np1 0.500 0.500 0.500  3.41
Ge1 0.000 0.000 0.500  0.01
Ge2 0.500 0.000 0.880  0.00
Ge3 0.000 0.500 0.120  0.00
Ir1 0.500 0.500 0.000  -0.01
Ir2 0.000 0.000 0.000  0.03
Ir3 0.500 0.000 0.647  -0.06
Ir4 0.000 0.500 0.353  -0.06

Computed properties:
**E**: -7.08 eV/atom
**DFT formation energy**: -521 meV per atom
**V**: 205.17 Å³/f.u.

***

## Np2TaGe3Ir4 (PBE)

Data for an optimized crystal structure of Np2TaGe3Ir4.

Unit cell a=4.130 b=4.130 c=10.854 alpha=90.00 beta=90.00 gamma=90.00
Last column: magnetic moment on the atom in μB.
Sites, in units of the cell vectors:
Np1 0.500 0.000 0.240  3.74
Np2 0.000 0.500 0.760  3.74
Ta1 0.500 0.500 0.500  0.08
Ge1 0.000 0.000 0.500  -0.03
Ge2 0.500 0.000 0.870  -0.01
Ge3 0.000 0.500 0.130  -0.01
Ir1 0.500 0.500 0.000  -0.04
Ir2 0.000 0.000 0.000  -0.04
Ir3 0.500 0.000 0.643  -0.08
Ir4 0.000 0.500 0.357  -0.08

Computed properties:
**E**: -9.13 eV/atom
**DFT formation energy**: -429 meV per atom
**V**: 185.10 Å³/f.u.

***

## Np2TaGe4Ir3 (PBE)

Data for an optimized crystal structure of Np2TaGe4Ir3.

Unit cell a=4.144 b=4.144 c=10.857 alpha=90.00 beta=90.00 gamma=90.00
Last column: magnetic moment on the atom in μB.
Sites, in units of the cell vectors:
Np1 0.500 0.000 0.243  3.72
Np2 0.000 0.500 0.757  3.72
Ta1 0.500 0.500 0.500  -0.01
Ge1 0.500 0.500 0.000  0.00
Ge2 0.000 0.000 0.000  -0.01
Ge3 0.500 0.000 0.648  -0.03
Ge4 0.000 0.500 0.352  -0.03
Ir1 0.000 0.000 0.500  -0.07
Ir2 0.500 0.000 0.872  -0.10
Ir3 0.000 0.500 0.128  -0.10

Computed properties:
**E**: -8.63 eV/atom
**DFT formation energy**: -346 meV per atom
**V**: 186.43 Å³/f.u.

***

## NpTcGe2Ir (PBE)

Data for an optimized crystal structure of NpTcGe2Ir.

Unit cell a=4.251 b=4.251 c=5.867 alpha=111.24 beta=111.24 gamma=90.00
Last column: magnetic moment on the atom in μB.
Sites, in units of the cell vectors:
Np1 0.000 0.000 0.000  3.81
Tc1 0.750 0.250 0.500  -0.25
Ge1 0.625 0.625 0.250  -0.01
Ge2 0.375 0.375 0.750  -0.01
Ir1 0.250 0.750 0.500  -0.07

Computed properties:
**E**: -8.57 eV/atom
**DFT formation energy**: -294 meV per atom
**V**: 91.05 Å³/f.u.